## ScRe3Se (GGA-PBE)

Data for crystalline ScRe3Se at its relaxed geometry.

a b c (Å): 4.557 4.557 4.557
angles (deg): 90.00 90.00 90.00
Element x y z (fractional)
Sc (0.500, 0.500, 0.500)
Re (0.000, 0.500, 0.000)
Re (0.000, 0.000, 0.500)
Re (0.500, 0.000, 0.000)
Se (0.000, 0.000, 0.000)

Raw formation energy, meV/atom: 1153
Final energy, eV for the cell shown: -41.4

***

## Sc2ReSe (GGA-PBE)

Data for crystalline Sc2ReSe at its relaxed geometry.

a b c (Å): 5.583 5.583 5.583
angles (deg): 139.39 139.39 58.78
Element x y z (fractional)
Re (0.750, 0.250, 0.500)
Sc (0.000, 0.000, 0.000)
Sc (0.250, 0.750, 0.500)
Se (0.500, 0.500, 0.000)

Raw formation energy, meV/atom: -227
Final energy, eV for the cell shown: -29.5

***

## ScRe2Se (GGA-PBE)

Data for crystalline ScRe2Se at its relaxed geometry.

a b c (Å): 3.041 4.335 5.240
angles (deg): 90.00 90.00 90.00
Element x y z (fractional)
Re (0.000, 0.000, 0.025)
Re (0.000, 0.000, 0.475)
Sc (0.500, 0.500, 0.250)
Se (0.500, 0.500, 0.750)

Raw formation energy, meV/atom: 307
Final energy, eV for the cell shown: -33.5

***

## ScRe2Se (GGA-PBE)

Data for crystalline ScRe2Se at its relaxed geometry.

a b c (Å): 5.039 5.039 5.014
angles (deg): 72.17 72.17 36.18
Element x y z (fractional)
Re (0.001, 0.001, 0.936)
Re (0.717, 0.717, 0.875)
Sc (0.503, 0.503, 0.458)
Se (0.278, 0.278, 0.230)

Raw formation energy, meV/atom: 106
Final energy, eV for the cell shown: -34.3

***

## ScReSe (GGA-PBE)

Data for crystalline ScReSe at its relaxed geometry.

a b c (Å): 3.283 3.283 5.918
angles (deg): 90.00 90.00 120.00
Element x y z (fractional)
Re (0.000, 0.000, 0.985)
Sc (0.333, 0.667, 0.328)
Se (0.667, 0.333, 0.687)

Raw formation energy, meV/atom: 7
Final energy, eV for the cell shown: -22.2

***

## ScRe2Se (GGA-PBE)

Data for crystalline ScRe2Se at its relaxed geometry.

a b c (Å): 5.357 5.357 5.357
angles (deg): 146.09 129.12 62.56
Element x y z (fractional)
Re (0.996, 0.996, 0.000)
Re (0.231, 0.731, 0.500)
Sc (0.503, 0.503, 0.000)
Se (0.769, 0.269, 0.500)

Raw formation energy, meV/atom: 170
Final energy, eV for the cell shown: -34.0